No. 1
DFT (PBE) results for K2Zn2H5 after structural relaxation.

The crystal system is monoclinic. As for the space-group type: C2/m (12).

Lattice parameters (Å, degrees): 5.794 5.794 6.262 106.43 106.43 40.71
Element x y z (fractional)
K1 0.090 0.090 0.318
K2 0.910 0.910 0.682
Zn1 0.340 0.340 0.083
Zn2 0.660 0.660 0.917
H1 0.167 0.167 0.961
H2 0.362 0.362 0.361
H3 0.500 0.500 0.000
H4 0.638 0.638 0.639
H5 0.833 0.833 0.039


No. 2
DFT (PBE) results for SmEr2HgC after structural relaxation.

The crystal system is tetragonal. As for the space-group type: P4/mmm (123).

Lattice parameters (Å, degrees): 4.832 4.832 5.082 90.00 90.00 90.00
Element x y z (fractional)
Sm1 0.000 0.000 0.000
Er1 0.000 0.500 0.500
Er2 0.500 0.000 0.500
Hg1 0.500 0.500 0.000
C1 0.000 0.000 0.500


No. 3
DFT (PBE) results for Nb5InC after structural relaxation.

The crystal system is monoclinic. As for the space-group type: C2/c (15).

Lattice parameters (Å, degrees): 5.603 5.603 7.900 97.32 97.32 93.73
Element x y z (fractional)
Nb1 0.104 0.644 0.371
Nb2 0.106 0.894 0.750
Nb3 0.165 0.350 0.974
Nb4 0.350 0.165 0.474
Nb5 0.356 0.896 0.129
Nb6 0.644 0.104 0.871
Nb7 0.650 0.835 0.526
Nb8 0.835 0.650 0.026
Nb9 0.894 0.106 0.250
Nb10 0.896 0.356 0.629
In1 0.449 0.551 0.750
In2 0.551 0.449 0.250
C1 0.000 0.000 0.000
C2 0.000 0.000 0.500


| no. | energy (eV per atom) |
| --- | --- |
| 1 | -2.411 |
| 2 | -5.028 |
| 3 | -8.977 |